Sc5Tc GGA-PBEsol optimized geometry; symmetry = No. 38; crystal system = orthorhombic; E_form = -2 meV/atom; uncorrected energy = -44.303 eV per cell; volume = 20.9 A^3/atom; ΔE to the lowest computed polymorph = 78 meV/atom
1.0
-2.862 -1.851 -0.740
-0.710 -0.794 4.734
-2.667 7.096 0.790
Sc Tc
5 1
direct
0.678 0.000 0.356
0.514 0.500 0.027
0.009 0.000 0.018
0.233 0.500 0.466
0.356 0.000 0.712
0.877 0.500 0.754

ScTc GGA-PBEsol optimized geometry; symmetry = No. 8; crystal system = monoclinic; E_form = -132 meV/atom; uncorrected energy = -54.406 eV per cell; volume = 16.9 A^3/atom
1.0
-1.752 -2.577 0.454
1.100 0.235 -5.347
5.016 -2.904 2.875
Tc Sc
3 3
direct
0.314 0.629 0.130
0.959 0.917 0.436
0.318 0.636 0.604
0.650 0.301 0.296
0.645 0.290 0.766
0.947 0.894 0.935

Sc5Tc24 GGA-PBEsol optimized geometry; symmetry = No. 217; crystal system = cubic; E_form = -168 meV/atom; uncorrected energy = -308.293 eV per cell; volume = 15.0 A^3/atom
1.0
8.272 0.000 0.000
-2.757 7.798 0.000
-2.757 -3.899 6.754
Tc Sc
24 5
direct
0.817 0.624 0.624
0.376 0.193 0.000
0.000 0.675 0.396
0.807 0.807 0.183
0.000 0.376 0.193
0.376 0.000 0.193
0.604 0.278 0.604
0.325 0.325 0.722
0.675 0.396 0.000
0.193 0.376 0.000
0.183 0.807 0.807
0.624 0.817 0.624
0.396 0.675 0.000
0.624 0.624 0.817
0.325 0.722 0.325
0.000 0.193 0.376
0.193 0.000 0.376
0.604 0.604 0.278
0.807 0.183 0.807
0.675 0.000 0.396
0.278 0.604 0.604
0.000 0.396 0.675
0.396 0.000 0.675
0.722 0.325 0.325
0.000 0.627 0.000
0.373 0.373 0.373
0.000 0.000 0.000
0.627 0.000 0.000
0.000 0.000 0.627

Sc5Tc GGA-PBEsol optimized geometry; symmetry = No. 12; crystal system = monoclinic; E_form = -80 meV/atom; uncorrected energy = -44.773 eV per cell; volume = 21.4 A^3/atom; ΔE to the lowest computed polymorph = 0 meV/atom
1.0
3.316 0.000 0.000
-1.658 5.528 -0.008
0.000 -2.743 6.995
Sc Tc
5 1
direct
0.637 0.274 0.863
0.000 0.000 0.500
0.337 0.675 0.713
0.663 0.325 0.287
0.363 0.726 0.137
0.000 0.000 0.000

ScTc GGA-PBEsol optimized geometry; symmetry = No. 74; crystal system = orthorhombic; E_form = -180 meV/atom; uncorrected energy = -36.464 eV per cell; volume = 16.9 A^3/atom
1.0
3.168 0.000 0.000
0.000 4.518 0.000
-1.584 -2.259 4.709
Tc Sc
2 2
direct
0.355 0.605 0.710
0.645 0.395 0.290
0.888 0.138 0.776
0.112 0.862 0.224

ScTc2Te GGA-PBEsol optimized geometry; symmetry = No. 47; crystal system = orthorhombic; uncorrected energy = -32.339 eV per cell; volume = 16.8 A^3/atom; formation energy (no corrections) = 31 kJ/mol of formula units
1.0
3.469 0.000 0.000
0.000 4.330 0.000
0.000 0.000 4.482
Tc Te Sc
2 1 1
direct
0.000 0.000 0.000
0.500 0.500 0.000
0.500 0.000 0.500
0.000 0.500 0.500